Entry 1:
Material: ZrTaTe
Method: DFT, meta-GGA SCAN
State: single point on PBEsol structure

Properties
energy relative to the elements, uncorrected = 0.741 eV/atom
excess energy over the best structure of this formula in the dataset = 848 meV/atom
SG = F-43m

Unit cell a=4.6785 b=4.6785 c=4.6785 alpha=60.00 beta=60.00 gamma=60.00
Fractional positions:
Zr1 0.0000 0.0000 0.0000
Ta1 0.2500 0.2500 0.2500
Te1 0.7500 0.7500 0.7500

***

Entry 2:
Material: ZrTaTe
Method: DFT, meta-GGA SCAN
State: single point on PBEsol structure

Properties
energy relative to the elements, uncorrected = -0.107 eV/atom
excess energy over the best structure of this formula in the dataset = 0 meV/atom
SG = I4mm

Unit cell a=5.3167 b=5.3167 c=5.3167 alpha=140.39 beta=140.39 gamma=57.26
Fractional positions:
Zr1 0.0000 0.0000 0.0000
Ta1 0.6665 0.6665 0.0000
Te1 0.3242 0.3242 0.0000

***

Entry 3:
Material: ZrTa2Te
Method: DFT, meta-GGA SCAN
State: single point on PBEsol structure

Properties
energy relative to the elements, uncorrected = 0.041 eV/atom
SG = Cmmm

Unit cell a=4.7170 b=4.7170 c=3.5329 alpha=90.00 beta=90.00 gamma=101.78
Fractional positions:
Zr1 0.0000 0.0000 0.0000
Ta1 0.0000 0.5000 0.5000
Ta2 0.5000 0.0000 0.5000
Te1 0.5000 0.5000 0.0000

***

Entry 4:
Material: TaTi3
Method: DFT, meta-GGA SCAN
State: single point on PBEsol structure

Properties
energy relative to the elements = 0.3 eV/f.u.
SG = Fm-3m

Unit cell a=4.5485 b=4.5485 c=4.5485 alpha=60.00 beta=60.00 gamma=60.00
Fractional positions:
Ta1 0.0000 0.0000 0.0000
Ti1 0.2500 0.2500 0.2500
Ti2 0.5000 0.5000 0.5000
Ti3 0.7500 0.7500 0.7500

***

Entry 5:
Material: TaTi3
Method: DFT, meta-GGA SCAN
State: single point on PBEsol structure

Properties
energy relative to the elements = 0.4 eV/f.u.
SG = I4/mmm

Unit cell a=5.1005 b=5.1005 c=5.1005 alpha=134.04 beta=134.04 gamma=67.03
Fractional positions:
Ta1 0.0000 0.0000 0.0000
Ti1 0.2500 0.7500 0.5000
Ti2 0.5000 0.5000 0.0000
Ti3 0.7500 0.2500 0.5000

***

Entry 6:
Material: TaTi3
Method: DFT, meta-GGA SCAN
State: single point on PBEsol structure

Properties
energy relative to the elements = 0.4 eV/f.u.
SG = Pm-3m

Unit cell a=4.0720 b=4.0720 c=4.0720 alpha=90.00 beta=90.00 gamma=90.00
Fractional positions:
Ta1 0.0000 0.0000 0.0000
Ti1 0.0000 0.5000 0.5000
Ti2 0.5000 0.0000 0.5000
Ti3 0.5000 0.5000 0.0000

***

Entry 7:
Material: Ta3TiTl
Method: DFT, meta-GGA SCAN
State: single point on PBEsol structure

Properties
energy relative to the elements = 11.5 eV/f.u.
SG = Pm-3m

Unit cell a=4.9860 b=4.9860 c=4.9860 alpha=90.00 beta=90.00 gamma=90.00
Fractional positions:
Ta1 0.0000 0.0000 0.5000
Ta2 0.0000 0.5000 0.0000
Ta3 0.5000 0.0000 0.0000
Ti1 0.5000 0.5000 0.5000
Tl1 0.0000 0.0000 0.0000

***

Entry 8:
Material: Ta2TiV
Method: DFT, meta-GGA SCAN
State: single point on PBEsol structure

Properties
energy relative to the elements = 0.3 eV/f.u.
SG = Fm-3m

Unit cell a=4.4937 b=4.4937 c=4.4937 alpha=60.00 beta=60.00 gamma=60.00
Fractional positions:
Ta1 0.2500 0.2500 0.2500
Ta2 0.7500 0.7500 0.7500
Ti1 0.0000 0.0000 0.0000
V1 0.5000 0.5000 0.5000

***

Number 1: density of states at the Fermi level 5.8 states/eV/f.u.. Number 2: density of states at the Fermi level 2.7 states/eV/f.u.. Number 3: density of states at the Fermi level 2.6 states/eV/f.u.. Number 4: density of states at the Fermi level 5.8 states/eV/f.u.. Number 5: density of states at the Fermi level 5.8 states/eV/f.u.. Number 6: density of states at the Fermi level 5.4 states/eV/f.u.. Number 7: density of states at the Fermi level 6.5 states/eV/f.u.. Number 8: density of states at the Fermi level 6.7 states/eV/f.u..